1.
The following is a DFT calculation (PBE-GGA) of a relaxed ScZn7Au4 crystal.

a b c (Å): 5.715 5.715 9.479
angles (deg): 117.09 117.09 52.50
Sites, in units of the cell vectors:
Sc1 0.000 0.000 0.000
Zn1 0.108 0.108 0.450
Zn2 0.312 0.312 0.095
Zn3 0.334 0.334 0.369
Zn4 0.500 0.500 0.000
Zn5 0.666 0.666 0.631
Zn6 0.688 0.688 0.905
Zn7 0.892 0.892 0.550
Au1 0.178 0.178 0.778
Au2 0.403 0.403 0.675
Au3 0.597 0.597 0.325
Au4 0.822 0.822 0.222

Properties
The energy comes out at -2.454 eV per atom. Its symmetry is C2/m (12).

=====

2.
The following is a DFT calculation (PBE-GGA) of a relaxed CrGa3Ru crystal.

a b c (Å): 4.670 4.670 4.670
angles (deg): 90.00 90.00 90.00
Sites, in units of the cell vectors:
Cr1 0.000 0.000 0.000
Ga1 0.000 0.500 0.500
Ga2 0.500 0.000 0.500
Ga3 0.500 0.500 0.000
Ru1 0.500 0.500 0.500

Properties
As for the relative energy among the computed polymorphs: 0 meV per atom. Its symmetry is Pm-3m (221).

=====

3.
The following is a DFT calculation (PBE-GGA) of a relaxed Ca2ZnPdN crystal.

a b c (Å): 4.912 4.912 3.916
angles (deg): 90.00 90.00 90.00
Sites, in units of the cell vectors:
Ca1 0.000 0.500 0.000
Ca2 0.500 0.000 0.000
Zn1 0.000 0.000 0.500
Pd1 0.500 0.500 0.500
N1 0.000 0.000 0.000

Properties
As for the relative energy among the computed polymorphs: 0 meV per atom. The value obtained for the raw formation energy is -50.8 kJ per mole of atoms. Its symmetry is P4/mmm (123).

=====

| no. | magnetization (μB per formula unit) | volume (Å³ per cell) |
| --- | --- | --- |
| 1 | 0.38 | 211.6 |
| 2 | 0.44 | 101.8 |
| 3 | 0.00 | 94.5 |